No. 1
# Sm2YTe3

Sm2YTe3 after structural relaxation (PBE, Alexandria).

```
Sm2YTe3
1.0
4.440 0.000 0.000
0.000 6.229 0.000
-2.220 -3.115 6.616
Sm Y Te
2 1 3
Cartesian
3.330 4.672 1.035
-1.110 -1.557 5.581
1.110 1.557 3.308
3.330 1.557 1.172
-1.110 1.557 5.444
1.110 -1.557 3.308
```

Values from the calculation:
The uncorrected formation energy comes out at -1.358 eV per atom. Its crystal system is orthorhombic. For the total energy, the calculation gives -33.48 eV per formula unit. As for the total magnetization: 0.00 μB/f.u.

No. 2
# Sm4YTe4

Sm4YTe4 after structural relaxation (PBE, Alexandria).

```
Sm4YTe4
1.0
-1.446 3.041 7.099
-0.356 -7.241 3.029
6.004 2.256 -4.091
Sm Y Te
4 1 4
Cartesian
-0.723 1.520 3.550
-0.178 -3.621 1.515
3.374 0.103 0.643
0.828 -2.047 5.394
0.000 0.000 0.000
3.172 -1.027 3.445
0.836 -4.845 4.235
4.150 1.251 -2.049
0.244 0.733 6.443
```

Values from the calculation:
The uncorrected formation energy comes out at -0.816 eV per atom. Its crystal system is tetragonal. For the total energy, the calculation gives -45.25 eV per formula unit. As for the total magnetization: 0.00 μB/f.u.

No. 3
# Sm5Y3Te8

Sm5Y3Te8 after structural relaxation (PBE, Alexandria).

```
Sm5Y3Te8
1.0
7.638 0.000 4.375
2.566 7.194 4.375
-0.004 -0.003 8.862
Sm Y Te
5 3 8
Cartesian
3.819 0.000 2.188
5.102 3.597 4.375
0.000 0.000 0.000
1.283 3.597 2.188
5.100 3.596 8.806
3.817 -0.001 6.618
-0.002 -0.001 4.431
1.281 3.596 6.618
2.548 1.797 8.792
3.843 5.428 11.000
6.403 1.797 11.000
7.674 5.410 13.168
7.652 5.395 8.820
6.357 1.764 6.612
3.797 5.395 6.612
2.526 1.781 4.445
```

Values from the calculation:
The uncorrected formation energy comes out at -1.352 eV per atom. Its crystal system is trigonal. For the total energy, the calculation gives -89.76 eV per formula unit. As for the total magnetization: 0.00 μB/f.u.

No. 4
# Sm3YTe

Sm3YTe after structural relaxation (PBE, Alexandria).

```
Sm3YTe
1.0
-2.166 -5.239 1.681
3.913 3.176 4.540
-6.964 4.305 4.441
Sm Y Te
6 2 2
Cartesian
-0.762 0.727 1.285
-4.455 1.515 9.377
-6.399 1.275 6.128
1.182 0.966 4.534
-2.227 -0.253 6.741
-2.990 2.495 3.920
-2.172 3.306 7.502
-3.045 -1.064 3.159
-4.810 3.959 6.138
-0.407 -1.717 4.524
```

Values from the calculation:
The uncorrected formation energy comes out at -0.366 eV per atom. Its crystal system is monoclinic. For the total energy, the calculation gives -25.59 eV per formula unit. As for the total magnetization: 0.00 μB/f.u.

No. 5
# Sm4YTe5

Sm4YTe5 after structural relaxation (PBE, Alexandria).

```
Sm4YTe5
1.0
4.409 0.000 0.000
0.000 4.409 0.000
-2.204 -2.204 15.824
Sm Y Te
4 1 5
Cartesian
0.000 0.000 12.530
2.204 2.204 9.715
0.000 0.000 6.109
2.204 2.204 3.294
0.000 0.000 0.000
0.000 0.000 3.033
2.204 2.204 0.000
2.204 2.204 12.791
0.000 0.000 9.362
2.204 2.204 6.462
```

Values from the calculation:
The uncorrected formation energy comes out at -1.369 eV per atom. Its crystal system is tetragonal. For the total energy, the calculation gives -54.74 eV per formula unit. As for the total magnetization: 0.00 μB/f.u.

No. 6
# SmY2Te

SmY2Te after structural relaxation (PBE, Alexandria).

```
SmY2Te
1.0
4.003 0.000 0.000
-2.001 6.129 0.000
0.000 0.000 9.849
Sm Y Te
2 4 2
Cartesian
2.002 5.438 2.462
0.000 0.692 7.386
0.000 4.462 5.289
2.002 1.667 4.559
0.000 4.462 9.483
2.002 1.667 0.365
2.002 3.260 7.386
0.000 2.870 2.462
```

Values from the calculation:
The uncorrected formation energy comes out at -0.682 eV per atom. The value obtained for the polymorph energy (0 for the lowest one) is 0 meV/atom. Its crystal system is orthorhombic. For the total energy, the calculation gives -23.52 eV per formula unit. As for the total magnetization: 0.00 μB/f.u.

No. 7
# SmY3Te3

SmY3Te3 after structural relaxation (PBE, Alexandria).

```
SmY3Te3
1.0
9.065 0.000 0.000
4.533 7.851 0.000
4.533 2.617 5.926
Sm Y Te
2 6 6
Cartesian
4.533 2.617 0.380
13.598 7.851 5.546
5.597 5.891 1.519
10.230 1.902 1.519
11.368 7.909 1.519
6.762 2.559 4.407
7.900 8.566 4.407
12.533 4.577 4.407
10.684 7.344 4.479
10.083 2.777 4.479
6.428 5.581 4.479
11.702 4.887 1.448
8.047 7.691 1.448
7.446 3.124 1.448
```

Values from the calculation:
The uncorrected formation energy comes out at -1.060 eV per atom. Its crystal system is trigonal. For the total energy, the calculation gives -40.95 eV per formula unit. As for the total magnetization: 0.00 μB/f.u.

No. 8
# Sm3YTe4

Sm3YTe4 after structural relaxation (PBE, Alexandria).

```
Sm3YTe4
1.0
4.378 0.000 0.000
0.000 7.693 -0.036
0.000 -2.460 7.289
Sm Y Te
3 1 4
Cartesian
0.000 -1.230 3.645
2.189 2.617 3.627
0.000 3.846 -0.018
2.189 0.000 0.000
0.000 1.284 1.780
2.189 5.179 1.778
0.000 3.949 5.474
2.189 0.055 5.475
```

Values from the calculation:
The uncorrected formation energy comes out at -1.363 eV per atom. Its crystal system is orthorhombic. For the total energy, the calculation gives -44.10 eV per formula unit. As for the total magnetization: 0.00 μB/f.u.